# 1
Ta2CdSe4: optimized geometry, PBE.

Structure (POSCAR):
```
Ta2CdSe4
1.0
6.756 -0.115 -3.670
-1.645 6.582 -3.220
-0.571 -0.604 7.796
Ta Cd Se
4 2 8
Cartesian
2.757 5.068 -3.281
2.958 1.852 2.377
0.412 2.163 4.184
3.413 2.477 -2.052
-1.295 4.988 2.198
6.681 -0.069 -3.483
4.570 3.227 0.493
2.030 0.152 3.979
5.512 0.717 -1.393
2.532 0.630 -0.048
5.308 0.385 1.892
1.466 3.995 -1.368
4.999 3.714 -3.850
1.222 3.673 2.230
```

Computed properties:
VASP energy: -6.08 eV per atom
total magnetization: 0.00 μB/cell
raw formation energy: -572.2 meV/atom



# 2
ErPt2: optimized geometry, PBE.

Structure (POSCAR):
```
ErPt2
1.0
-2.164 2.277 -2.924
-2.900 -3.118 2.868
0.617 4.738 3.234
Er Pt
2 4
Cartesian
-0.651 3.222 2.992
-3.797 0.675 0.186
-1.216 0.806 1.528
-3.232 3.091 1.650
-0.774 3.507 0.155
-1.082 1.139 -1.462
```

Computed properties:
VASP energy: -6.66 eV per atom
energy of formation: -1.1080 eV/atom
total magnetization: 0.00 μB/cell



# 3
HoTl2F8: optimized geometry, PBE.

Structure (POSCAR):
```
HoTl2F8
1.0
4.599 -0.578 -0.439
-0.694 6.286 0.018
-0.694 1.710 6.049
Ho Tl F
1 2 8
Cartesian
0.000 0.000 0.000
0.725 5.064 3.842
2.487 2.353 1.786
0.222 3.654 5.609
2.989 1.032 3.619
0.136 6.779 5.144
3.075 0.638 0.484
0.222 6.385 2.009
2.989 3.763 0.019
2.830 4.219 3.201
0.381 3.199 2.427
```

Computed properties:
relative energy among the computed polymorphs: 0 meV per atom
VASP energy: -4.79 eV per atom
total magnetization: 0.00 μB/cell
raw formation energy: -2580.4 meV/atom



# 4
TbHo3Au4: optimized geometry, PBE.

Structure (POSCAR):
```
TbHo3Au4
1.0
4.867 0.000 1.437
2.222 4.331 1.437
0.042 0.025 8.822
Au Tb Ho
4 1 3
Cartesian
6.213 3.796 5.840
2.701 1.650 8.777
0.917 0.560 5.855
4.430 2.706 2.918
0.000 0.000 0.000
1.781 1.088 2.929
5.350 3.268 8.766
3.565 2.178 5.848
```

Computed properties:
VASP energy: -4.80 eV per atom
energy of formation: -0.8659 eV/atom
total magnetization: 0.00 μB/cell



# 5
Nb2CdC: optimized geometry, PBE.

Structure (POSCAR):
```
Nb2CdC
1.0
-0.483 0.843 3.029
-2.933 0.710 1.005
-2.232 -6.530 3.132
Nb C Cd
2 1 1
Cartesian
-4.333 -4.355 5.532
-1.315 -0.622 1.634
0.000 0.000 0.000
-2.824 -2.488 3.583
```

Computed properties:
VASP energy: -7.89 eV per atom
energy of formation: -0.3180 eV/atom
total magnetization: 0.00 μB/cell



# 6
Pm5Ga2Sn2: optimized geometry, PBE.

Structure (POSCAR):
```
Pm5Ga2Sn2
1.0
-7.661 2.092 -1.433
-0.721 -6.236 -5.250
-2.037 -1.598 8.556
Pm Ga Sn
10 4 4
Cartesian
0.000 0.000 0.000
-4.191 -2.072 -3.342
-7.461 -3.790 -3.147
-2.218 -2.907 -0.326
-3.732 -5.711 -3.167
-5.947 -0.986 -0.306
-2.957 -1.952 5.019
-8.200 -2.835 2.199
-6.687 -0.031 5.040
-4.471 -4.756 2.178
-5.360 -4.224 -5.526
-3.021 0.080 -1.157
-1.337 -3.596 -3.400
-7.045 -0.548 -3.283
-1.006 -1.979 2.489
-5.197 -4.051 -0.853
-1.752 -5.855 0.817
-5.222 -1.691 2.725
```

Computed properties:
VASP energy: -4.82 eV per atom
energy of formation: -0.6179 eV/atom
total magnetization: 0.00 μB/cell